A plane-wave DFT calculation with PBE-GGA was carried out for crystalline AlCr2Fe at its relaxed geometry.

As for the crystal system: orthorhombic. The formation energy from the elements is -0.141 eV per atom. The value obtained for the energy above the most stable polymorph in this dataset is 0 meV/atom.

It has space group Immm (No. 71), with a = 2.873 Å, b = 3.925 Å, c = 8.253 Å, α = 90.00°, β = 90.00° and γ = 90.00°. The distinct sites, in fractional coordinates, are Al at (0.000, 0.000, 0.000), Cr at (0.000, 0.500, 0.242) and Fe at (0.000, 0.000, 0.500).

***

A plane-wave DFT calculation with PBE-GGA was carried out for crystalline CeMnP2 at its relaxed geometry.

As for the crystal system: orthorhombic. The formation energy from the elements is -0.928 eV per atom. The value obtained for the energy above the most stable polymorph in this dataset is 0 meV/atom.

It has space group Immm (No. 71), with a = 3.859 Å, b = 5.646 Å, c = 13.438 Å, α = 90.00°, β = 90.00° and γ = 90.00°. The distinct sites, in fractional coordinates, are Ce at (0.000, 0.000, 0.152), Mn at (0.000, 0.000, 0.396), P at (0.000, 0.303, 0.500) and P at (0.000, 0.500, 0.190).

***

A plane-wave DFT calculation with PBE-GGA was carried out for crystalline TbSc2Sb at its relaxed geometry.

As for the crystal system: orthorhombic. The energy relative to the elements, uncorrected is -0.56 eV per atom. The value obtained for the energy above the most stable polymorph in this dataset is 0 meV/atom.

It has space group Cmcm (No. 63), with a = 4.039 Å, b = 11.712 Å, c = 8.851 Å, α = 90.00°, β = 90.00° and γ = 90.00°. The distinct sites, in fractional coordinates, are Tb at (0.000, 0.052, 0.250), Sc at (0.000, 0.364, 0.047) and Sb at (0.000, 0.238, 0.750).

***

A plane-wave DFT calculation with PBE-GGA was carried out for crystalline Hf2GaHgPt at its relaxed geometry.

As for the crystal system: tetragonal. The formation energy from the elements is 0.364 eV per atom.

It has space group P4/mmm (No. 123), with a = 4.960 Å, b = 4.960 Å, c = 4.586 Å, α = 90.00°, β = 90.00° and γ = 90.00°. The distinct sites, in fractional coordinates, are Hf at (0.000, 0.500, 0.000), Ga at (0.000, 0.000, 0.000), Hg at (0.500, 0.500, 0.500) and Pt at (0.000, 0.000, 0.500).

***

A plane-wave DFT calculation with PBE-GGA was carried out for crystalline Zr2VReAg at its relaxed geometry.

As for the crystal system: tetragonal. The formation energy from the elements is 1.924 eV per atom. The value obtained for the energy above the most stable polymorph in this dataset is 555 meV/atom.

It has space group P4/mmm (No. 123), with a = 5.011 Å, b = 5.011 Å, c = 4.801 Å, α = 90.00°, β = 90.00° and γ = 90.00°. The distinct sites, in fractional coordinates, are Zr at (0.000, 0.500, 0.000), V at (0.000, 0.000, 0.500), Re at (0.500, 0.500, 0.500) and Ag at (0.500, 0.500, 0.000).

***

A plane-wave DFT calculation with PBE-GGA was carried out for crystalline RbBa2F at its relaxed geometry.

As for the crystal system: cubic. The energy relative to the elements, uncorrected is -0.40 eV per atom. The value obtained for the energy above the most stable polymorph in this dataset is 862 meV/atom.

It has space group Fm-3m (No. 225), with a = 9.499 Å, b = 9.499 Å, c = 9.499 Å, α = 90.00°, β = 90.00° and γ = 90.00°. The distinct sites, in fractional coordinates, are Rb at (0.000, 0.000, 0.000), Ba at (0.250, 0.250, 0.250) and F at (0.000, 0.000, 0.500).

***

A plane-wave DFT calculation with PBE-GGA was carried out for crystalline Sm5Ge5Pt2 at its relaxed geometry.

As for the crystal system: monoclinic. The formation energy from the elements is -0.903 eV per atom.

It has space group C2/m (No. 12), with a = 15.391 Å, b = 4.326 Å, c = 11.146 Å, α = 90.00°, β = 130.72° and γ = 90.00°. The distinct sites, in fractional coordinates, are Sm at (0.000, 0.000, 0.000), Sm at (0.113, 0.000, 0.421), Sm at (0.199, 0.000, 0.824), Ge at (0.000, 0.500, 0.500), Ge at (0.061, 0.500, 0.835), Ge at (0.246, 0.500, 0.691) and Pt at (0.141, 0.500, 0.255).

***

A plane-wave DFT calculation with PBE-GGA was carried out for crystalline K2ThS2I2 at its relaxed geometry.

As for the crystal system: tetragonal. The energy relative to the elements, uncorrected is -1.60 eV per atom.

It has space group I4/mmm (No. 139), with a = 5.450 Å, b = 5.450 Å, c = 18.127 Å, α = 90.00°, β = 90.00° and γ = 90.00°. The distinct sites, in fractional coordinates, are K at (0.000, 0.000, 0.120), Th at (0.000, 0.000, 0.500), S at (0.000, 0.500, 0.000) and I at (0.000, 0.000, 0.325).

***

A plane-wave DFT calculation with PBE-GGA was carried out for crystalline Cs2Li2Ge at its relaxed geometry.

As for the crystal system: tetragonal. The formation energy from the elements is 0.069 eV per atom.

It has space group P4/mbm (No. 127), with a = 7.602 Å, b = 7.602 Å, c = 6.388 Å, α = 90.00°, β = 90.00° and γ = 90.00°. The distinct sites, in fractional coordinates, are Cs at (0.181, 0.319, 0.000), Li at (0.222, 0.722, 0.500) and Ge at (0.000, 0.000, 0.500).

***

A plane-wave DFT calculation with PBE-GGA was carried out for crystalline SrTc3Te at its relaxed geometry.

As for the crystal system: cubic. The energy relative to the elements, uncorrected is 2.75 eV per atom. The value obtained for the energy above the most stable polymorph in this dataset is 1552 meV/atom.

It has space group Pm-3m (No. 221), with a = 5.050 Å, b = 5.050 Å, c = 5.050 Å, α = 90.00°, β = 90.00° and γ = 90.00°. The distinct sites, in fractional coordinates, are Sr at (0.000, 0.000, 0.000), Tc at (0.000, 0.000, 0.500) and Te at (0.500, 0.500, 0.500).

***

A plane-wave DFT calculation with PBE-GGA was carried out for crystalline HfPa2S4 at its relaxed geometry.

As for the crystal system: monoclinic. The energy relative to the elements, uncorrected is -1.33 eV per atom.

It has space group P2_1/m (No. 11), with a = 6.979 Å, b = 6.194 Å, c = 7.352 Å, α = 90.00°, β = 106.40° and γ = 90.00°. The distinct sites, in fractional coordinates, are Hf at (0.242, 0.250, 0.202), Pa at (0.289, 0.750, 0.439), Pa at (0.299, 0.750, 0.952), S at (0.011, 0.250, 0.389), S at (0.021, 0.250, 0.883) and S at (0.474, 0.012, 0.743).

***

A plane-wave DFT calculation with PBE-GGA was carried out for crystalline LaY2Mg at its relaxed geometry.

As for the crystal system: cubic. The formation energy from the elements is 0.038 eV per atom.

It has space group F-43m (No. 216), with a = 7.961 Å, b = 7.961 Å, c = 7.961 Å, α = 90.00°, β = 90.00° and γ = 90.00°. The distinct sites, in fractional coordinates, are La at (0.000, 0.000, 0.000), Y at (0.000, 0.000, 0.500), Y at (0.250, 0.250, 0.250) and Mg at (0.250, 0.250, 0.750).

***

A plane-wave DFT calculation with PBE-GGA was carried out for crystalline Sr5Ca12Ac2 at its relaxed geometry.

As for the crystal system: monoclinic. The formation energy from the elements is 0.068 eV per atom.

It has space group C2/m (No. 12), with a = 19.524 Å, b = 13.171 Å, c = 6.888 Å, α = 90.00°, β = 101.95° and γ = 90.00°. The distinct sites, in fractional coordinates, are Sr at (0.000, 0.000, 0.000), Sr at (0.160, 0.500, 0.370), Sr at (0.223, 0.000, 0.073), Ca at (0.054, 0.500, 0.793), Ca at (0.101, 0.250, 0.089), Ca at (0.110, 0.000, 0.529), Ca at (0.200, 0.243, 0.695) and Ac at (0.000, 0.250, 0.500).

***

A plane-wave DFT calculation with PBE-GGA was carried out for crystalline Ac3Ga2CuPd6 at its relaxed geometry.

As for the crystal system: trigonal. The formation energy from the elements is -0.638 eV per atom.

It has space group P-3m1 (No. 164), with a = 5.8963 Å, b = 5.8963 Å, c = 8.8949 Å, α = 90.00°, β = 90.00° and γ = 120.00°. The distinct sites, in fractional coordinates, are Ac at (0.0000, 0.0000, 0.0000), Ac at (0.3333, 0.6667, 0.6255), Ga at (0.3333, 0.6667, 0.0472), Cu at (0.0000, 0.0000, 0.5000) and Pd at (0.1722, 0.3444, 0.2847).

***

A plane-wave DFT calculation with PBE-GGA was carried out for crystalline AcEuAsF at its relaxed geometry.

As for the crystal system: cubic. The energy relative to the elements, uncorrected is -1.73 eV per atom.

It has space group F-43m (No. 216), with a = 7.317 Å, b = 7.317 Å, c = 7.317 Å, α = 90.00°, β = 90.00° and γ = 90.00°. The distinct sites, in fractional coordinates, are Ac at (0.000, 0.000, 0.000), Eu at (0.000, 0.000, 0.500), As at (0.250, 0.250, 0.750) and F at (0.250, 0.250, 0.250).

***

A plane-wave DFT calculation with PBE-GGA was carried out for crystalline TiTe2NO at its relaxed geometry.

As for the crystal system: tetragonal. The energy relative to the elements, uncorrected is 0.78 eV per atom. The value obtained for the energy above the most stable polymorph in this dataset is 320 meV/atom.

It has space group P4/mmm (No. 123), with a = 4.586 Å, b = 4.586 Å, c = 3.920 Å, α = 90.00°, β = 90.00° and γ = 90.00°. The distinct sites, in fractional coordinates, are Ti at (0.000, 0.000, 0.000), Te at (0.000, 0.500, 0.500), N at (0.500, 0.500, 0.000) and O at (0.500, 0.500, 0.500).

***

A plane-wave DFT calculation with PBE-GGA was carried out for crystalline YRh2Se at its relaxed geometry.

As for the crystal system: tetragonal. The energy relative to the elements, uncorrected is -0.48 eV per atom.

It has space group I-42d (No. 122), with a = 4.140 Å, b = 4.140 Å, c = 18.010 Å, α = 90.00°, β = 90.00° and γ = 90.00°. The distinct sites, in fractional coordinates, are Y at (0.000, 0.000, 0.000), Rh at (0.207, 0.250, 0.625) and Se at (0.000, 0.000, 0.500).

***

A plane-wave DFT calculation with PBE-GGA was carried out for crystalline PmY4Sc2 at its relaxed geometry.

As for the crystal system: tetragonal. The formation energy from the elements is 0.276 eV per atom. The value obtained for the energy above the most stable polymorph in this dataset is 135 meV/atom.

It has space group P4_2/mnm (No. 136), with a = 9.006 Å, b = 9.006 Å, c = 5.596 Å, α = 90.00°, β = 90.00° and γ = 90.00°. The distinct sites, in fractional coordinates, are Pm at (0.000, 0.000, 0.000), Y at (0.108, 0.365, 0.000) and Sc at (0.191, 0.191, 0.500).

***

A plane-wave DFT calculation with PBE-GGA was carried out for crystalline LiPm4TmS8 at its relaxed geometry.

As for the crystal system: trigonal. The energy relative to the elements, uncorrected is -1.93 eV per atom.

It has space group R3m (No. 160, hexagonal axes), with a = 8.2210 Å, b = 8.2210 Å, c = 19.7598 Å, α = 90.00°, β = 90.00° and γ = 120.00°. The distinct sites, in fractional coordinates, are Li at (0.0000, 0.0000, 0.0000), Pm at (0.0000, 0.0000, 0.2492), Pm at (0.1722, 0.3445, 0.4580), Tm at (0.0000, 0.0000, 0.6309), S at (0.0000, 0.0000, 0.3841), S at (0.0000, 0.0000, 0.8706), S at (0.0223, 0.5111, 0.3753) and S at (0.1815, 0.3630, 0.2098).

***

A plane-wave DFT calculation with PBE-GGA was carried out for crystalline CdCo2N at its relaxed geometry.

As for the crystal system: trigonal. The energy relative to the elements, uncorrected is 0.14 eV per atom. The value obtained for the energy above the most stable polymorph in this dataset is 0 meV/atom.

It has space group R-3m (No. 166, hexagonal axes), with a = 2.8959 Å, b = 2.8959 Å, c = 19.5634 Å, α = 90.00°, β = 90.00° and γ = 120.00°. The distinct sites, in fractional coordinates, are Cd at (0.0000, 0.0000, 0.0000), Co at (0.0000, 0.0000, 0.2159) and N at (0.0000, 0.0000, 0.5000).